Compound: Fe2W
Source: the Alexandria database
Functional: PBE
Structure: relaxed

Cell lengths 4.125, 4.125, 5.034 Å; angles 90.00, 90.00, 120.00 degrees
Atoms (fractional coordinates):
W1 0.667 0.333 0.250
Fe1 0.000 0.000 0.000
Fe2 0.667 0.333 0.750
Fe3 0.333 0.667 0.250
Fe4 0.000 0.000 0.500
W2 0.333 0.667 0.750

Properties
energy relative to the elements = 0.1788 eV/atom
N(E_F) = 2.28 states/eV/f.u.
DFT total energy = -29.342 eV per formula unit